First-principles (PBE) data for a relaxed AgTe2O crystal, as listed in Alexandria.

a = 4.772 Å, b = 4.772 Å, c = 4.772 Å
α = 60.00°, β = 60.00°, γ = 60.00°
Fractional coordinates of all 4 atoms:
Ag 0.000 0.000 0.000
Te 0.250 0.250 0.250
Te 0.750 0.750 0.750
O 0.500 0.500 0.500

Properties
DFT total energy	-3.174	eV per atom
relative energy among the computed polymorphs	302	meV per atom
formation energy (no corrections)	0.35	eV/atom



First-principles (PBE) data for a relaxed BeMoAs2 crystal, as listed in Alexandria.

a = 4.936 Å, b = 4.936 Å, c = 4.936 Å
α = 141.40°, β = 128.15°, γ = 66.47°
Fractional coordinates of all 4 atoms:
Be 0.000 0.000 0.000
Mo 0.239 0.739 0.500
As 0.525 0.525 0.000
As 0.797 0.297 0.500

Properties
formation energy from the elements	0.24	eV per atom
DFT total energy	-5.729	eV per atom



First-principles (PBE) data for a relaxed PmMoC3 crystal, as listed in Alexandria.

a = 7.109 Å, b = 7.109 Å, c = 6.178 Å
α = 110.97°, β = 110.97°, γ = 32.98°
Fractional coordinates of all 10 atoms:
Pm 0.126 0.126 0.324
Pm 0.874 0.874 0.676
Mo 0.326 0.326 0.140
Mo 0.674 0.674 0.860
C 0.168 0.168 0.950
C 0.328 0.328 0.441
C 0.471 0.471 0.060
C 0.529 0.529 0.940
C 0.672 0.672 0.559
C 0.832 0.832 0.050

Properties
formation energy from the elements	0.27	eV per atom
DFT total energy	-8.385	eV per atom



First-principles (PBE) data for a relaxed NaAs3Pb crystal, as listed in Alexandria.

a = 5.495 Å, b = 5.495 Å, c = 5.495 Å
α = 90.00°, β = 90.00°, γ = 90.00°
Fractional coordinates of all 5 atoms:
Na 0.000 0.000 0.000
As 0.000 0.500 0.500
As 0.500 0.000 0.500
As 0.500 0.500 0.000
Pb 0.500 0.500 0.500

Properties
formation energy from the elements	0.73	eV per atom
DFT total energy	-3.070	eV per atom
relative energy among the computed polymorphs	0	meV per atom



First-principles (PBE) data for a relaxed LuAlNi crystal, as listed in Alexandria.

a = 6.867 Å, b = 6.867 Å, c = 3.832 Å
α = 90.00°, β = 90.00°, γ = 120.00°
Fractional coordinates of all 9 atoms:
Lu 0.000 0.585 0.000
Lu 0.415 0.415 0.000
Lu 0.585 0.000 0.000
Al 0.000 0.238 0.500
Al 0.238 0.000 0.500
Al 0.762 0.762 0.500
Ni 0.000 0.000 0.000
Ni 0.333 0.667 0.500
Ni 0.667 0.333 0.500

Properties
formation energy from the elements	-0.64	eV per atom
DFT total energy	-5.323	eV per atom



First-principles (PBE) data for a relaxed Tm3In5H12 crystal, as listed in Alexandria.

a = 11.059 Å, b = 11.059 Å, c = 11.059 Å
α = 109.47°, β = 109.47°, γ = 109.47°
Fractional coordinates of all 80 atoms:
Tm 0.125 0.250 0.375
Tm 0.125 0.375 0.750
Tm 0.250 0.375 0.125
Tm 0.250 0.875 0.625
Tm 0.375 0.125 0.250
Tm 0.375 0.750 0.125
Tm 0.625 0.250 0.875
Tm 0.625 0.875 0.750
Tm 0.750 0.125 0.375
Tm 0.750 0.625 0.875
Tm 0.875 0.625 0.250
Tm 0.875 0.750 0.625
In 0.000 0.000 0.000
In 0.000 0.000 0.500
In 0.000 0.500 0.000
In 0.000 0.500 0.500
In 0.125 0.750 0.875
In 0.125 0.875 0.250
In 0.250 0.125 0.875
In 0.250 0.625 0.375
In 0.375 0.250 0.625
In 0.375 0.625 0.750
In 0.500 0.000 0.000
In 0.500 0.000 0.500
In 0.500 0.500 0.000
In 0.500 0.500 0.500
In 0.625 0.375 0.250
In 0.625 0.750 0.375
In 0.750 0.375 0.625
In 0.750 0.875 0.125
In 0.875 0.125 0.750
In 0.875 0.250 0.125
H 0.075 0.661 0.418
H 0.075 0.913 0.656
H 0.082 0.743 0.656
H 0.082 0.839 0.425
H 0.087 0.243 0.161
H 0.087 0.344 0.925
H 0.156 0.243 0.582
H 0.156 0.413 0.575
H 0.161 0.087 0.243
H 0.161 0.575 0.918
H 0.243 0.161 0.087
H 0.243 0.582 0.156
H 0.257 0.344 0.918
H 0.257 0.413 0.339
H 0.339 0.257 0.413
H 0.339 0.582 0.925
H 0.344 0.918 0.257
H 0.344 0.925 0.087
H 0.413 0.339 0.257
H 0.413 0.575 0.156
H 0.418 0.075 0.661
H 0.418 0.844 0.757
H 0.425 0.082 0.839
H 0.425 0.844 0.587
H 0.575 0.156 0.413
H 0.575 0.918 0.161
H 0.582 0.156 0.243
H 0.582 0.925 0.339
H 0.587 0.425 0.844
H 0.587 0.661 0.743
H 0.656 0.075 0.913
H 0.656 0.082 0.743
H 0.661 0.418 0.075
H 0.661 0.743 0.587
H 0.743 0.587 0.661
H 0.743 0.656 0.082
H 0.757 0.418 0.844
H 0.757 0.839 0.913
H 0.839 0.425 0.082
H 0.839 0.913 0.757
H 0.844 0.587 0.425
H 0.844 0.757 0.418
H 0.913 0.656 0.075
H 0.913 0.757 0.839
H 0.918 0.161 0.575
H 0.918 0.257 0.344
H 0.925 0.087 0.344
H 0.925 0.339 0.582

Properties
DFT total energy	-3.286	eV per atom



First-principles (PBE) data for a relaxed Al2BiPd2 crystal, as listed in Alexandria.

a = 7.724 Å, b = 7.724 Å, c = 3.013 Å
α = 90.00°, β = 90.00°, γ = 90.00°
Fractional coordinates of all 10 atoms:
Al 0.145 0.355 0.000
Al 0.355 0.855 0.000
Al 0.645 0.145 0.000
Al 0.855 0.645 0.000
Bi 0.000 0.000 0.500
Bi 0.500 0.500 0.500
Pd 0.142 0.642 0.500
Pd 0.358 0.142 0.500
Pd 0.642 0.858 0.500
Pd 0.858 0.358 0.500

Properties
formation energy from the elements	-0.46	eV per atom
DFT total energy	-4.813	eV per atom
relative energy among the computed polymorphs	46	meV per atom



First-principles (PBE) data for a relaxed LiSbSe2 crystal, as listed in Alexandria.

a = 6.974 Å, b = 6.974 Å, c = 6.974 Å
α = 33.88°, β = 33.88°, γ = 33.88°
Fractional coordinates of all 4 atoms:
Li 0.000 0.000 0.000
Sb 0.500 0.500 0.500
Se 0.253 0.253 0.253
Se 0.747 0.747 0.747

Properties
DFT total energy	-3.886	eV per atom
formation energy (no corrections)	-0.64	eV/atom



First-principles (PBE) data for a relaxed BiSb2PdI crystal, as listed in Alexandria.

a = 5.848 Å, b = 5.848 Å, c = 6.078 Å
α = 90.00°, β = 90.00°, γ = 90.00°
Fractional coordinates of all 5 atoms:
Bi 0.000 0.000 0.000
Sb 0.000 0.500 0.000
Sb 0.500 0.000 0.000
Pd 0.500 0.500 0.500
I 0.000 0.000 0.500

Properties
DFT total energy	-2.713	eV per atom
relative energy among the computed polymorphs	751	meV per atom
formation energy (no corrections)	1.06	eV/atom



First-principles (PBE) data for a relaxed La2Pd5Au5 crystal, as listed in Alexandria.

a = 4.625 Å, b = 5.492 Å, c = 9.520 Å
α = 90.00°, β = 90.00°, γ = 90.00°
Fractional coordinates of all 12 atoms:
La 0.000 0.000 0.000
La 0.000 0.500 0.500
Pd 0.000 0.000 0.335
Pd 0.000 0.000 0.665
Pd 0.000 0.500 0.163
Pd 0.000 0.500 0.837
Pd 0.500 0.500 0.000
Au 0.500 0.000 0.500
Au 0.500 0.250 0.247
Au 0.500 0.250 0.753
Au 0.500 0.750 0.247
Au 0.500 0.750 0.753

Properties
formation energy from the elements	-0.61	eV per atom
DFT total energy	-4.959	eV per atom
relative energy among the computed polymorphs	0	meV per atom



First-principles (PBE) data for a relaxed AsSe3 crystal, as listed in Alexandria.

a = 5.104 Å, b = 5.104 Å, c = 5.104 Å
α = 90.00°, β = 90.00°, γ = 90.00°
Fractional coordinates of all 4 atoms:
As 0.000 0.000 0.000
Se 0.000 0.000 0.500
Se 0.000 0.500 0.000
Se 0.500 0.000 0.000

Properties
DFT total energy	-3.119	eV per atom
relative energy among the computed polymorphs	586	meV per atom
formation energy (no corrections)	0.66	eV/atom



First-principles (PBE) data for a relaxed BeAuICl2 crystal, as listed in Alexandria.

a = 5.007 Å, b = 5.007 Å, c = 4.981 Å
α = 90.00°, β = 90.00°, γ = 90.00°
Fractional coordinates of all 5 atoms:
Be 0.000 0.000 0.000
Au 0.000 0.000 0.500
I 0.500 0.500 0.000
Cl 0.000 0.500 0.500
Cl 0.500 0.000 0.500

Properties
DFT total energy	-2.045	eV per atom
formation energy (no corrections)	0.40	eV/atom



First-principles (PBE) data for a relaxed La4TbNd15 crystal, as listed in Alexandria.

a = 5.224 Å, b = 5.224 Å, c = 26.067 Å
α = 90.00°, β = 90.00°, γ = 90.00°
Fractional coordinates of all 20 atoms:
La 0.000 0.000 0.100
La 0.000 0.000 0.301
La 0.000 0.000 0.699
La 0.000 0.000 0.900
Tb 0.000 0.000 0.500
Nd 0.000 0.500 0.000
Nd 0.000 0.500 0.201
Nd 0.000 0.500 0.402
Nd 0.000 0.500 0.598
Nd 0.000 0.500 0.799
Nd 0.500 0.000 0.000
Nd 0.500 0.000 0.201
Nd 0.500 0.000 0.402
Nd 0.500 0.000 0.598
Nd 0.500 0.000 0.799
Nd 0.500 0.500 0.100
Nd 0.500 0.500 0.302
Nd 0.500 0.500 0.500
Nd 0.500 0.500 0.698
Nd 0.500 0.500 0.900

Properties
formation energy from the elements	0.02	eV per atom
DFT total energy	-4.777	eV per atom



First-principles (PBE) data for a relaxed RbNa2TlGa crystal, as listed in Alexandria.

a = 6.121 Å, b = 6.121 Å, c = 5.352 Å
α = 90.00°, β = 90.00°, γ = 90.00°
Fractional coordinates of all 5 atoms:
Rb 0.000 0.000 0.000
Na 0.000 0.500 0.500
Na 0.500 0.000 0.500
Tl 0.500 0.500 0.500
Ga 0.500 0.500 0.000

Properties
formation energy from the elements	0.07	eV per atom
DFT total energy	-1.725	eV per atom
relative energy among the computed polymorphs	51	meV per atom



First-principles (PBE) data for a relaxed Cs2TaCBr6 crystal, as listed in Alexandria.

a = 8.061 Å, b = 8.061 Å, c = 8.061 Å
α = 121.58°, β = 121.58°, γ = 87.28°
Fractional coordinates of all 10 atoms:
Cs 0.250 0.750 0.500
Cs 0.750 0.250 0.500
Ta 0.000 0.000 0.000
C 0.500 0.500 0.000
Br 0.221 0.221 0.000
Br 0.232 0.232 0.464
Br 0.232 0.768 0.000
Br 0.768 0.232 0.000
Br 0.768 0.768 0.536
Br 0.779 0.779 0.000

Properties
DFT total energy	-3.733	eV per atom
formation energy (no corrections)	-0.45	eV/atom